(1)
AsHPdRh2: relaxed, GGA-PBE.

calculated volume: 62.0 Å³/f.u.
magnetic moment: 0.00 μB/cell
D(E_F): 4.25 states/eV/f.u.
uncorrected energy: -28.31 eV for the cell shown

The structure in POSCAR format:
```
AsHPdRh2
1.0
3.991 0.000 0.000
0.000 3.991 0.000
0.000 0.000 3.894
As H Pd Rh
1 1 1 2
direct
0.000 0.000 0.000 As
0.500 0.500 0.500 H
0.500 0.500 0.000 Pd
0.000 0.500 0.500 Rh
0.500 0.000 0.500 Rh
```

(2)
AsH2PdRh: relaxed, GGA-PBE.

calculated volume: 65.1 Å³/f.u.
magnetic moment: 0.00 μB/cell
D(E_F): 1.99 states/eV/f.u.
uncorrected energy: -22.58 eV for the cell shown

The structure in POSCAR format:
```
AsH2PdRh
1.0
3.472 0.000 0.000
0.000 3.472 0.000
0.000 0.000 5.399
As H Pd Rh
1 2 1 1
direct
0.000 0.000 0.000 As
0.000 0.500 0.500 H
0.500 0.000 0.500 H
0.500 0.500 0.000 Pd
0.500 0.500 0.500 Rh
```

(3)
ScAs2HPd: relaxed, GGA-PBE.

calculated volume: 117.0 Å³/f.u.
magnetic moment: 0.00 μB/cell
D(E_F): 3.85 states/eV/f.u.
uncorrected energy: -21.25 eV for the cell shown

The structure in POSCAR format:
```
ScAs2HPd
1.0
4.700 0.000 0.000
0.000 4.700 0.000
0.000 0.000 5.298
Sc As H Pd
1 2 1 1
direct
0.000 0.000 0.000 Sc
0.000 0.500 0.500 As
0.500 0.000 0.500 As
0.500 0.500 0.000 H
0.000 0.000 0.500 Pd
```